{
  "formula": "BeCo2Ir",
  "functional": "meta-GGA SCAN",
  "state": "PBEsol geometry",
  "ef_mev_per_atom": -152,
  "lattice": [[2.699, 0.000, 0.000], [0.000, 4.059, 0.000], [-1.349, -2.029, 3.905]],
  "species": ["Co", "Co", "Be", "Ir"],
  "fractional_positions": [[0.978, 0.978, 0.955], [0.744, 0.244, 0.488], [0.258, 0.758, 0.516], [0.520, 0.520, 0.041]]
}